DFT (GGA+U) results for NaMo2O after structural relaxation. Values from VASP.

Cell and atoms, written as Quantum ESPRESSO input:
```
&SYSTEM
  ibrav = 0, nat = 16, ntyp = 3
/
ATOMIC_SPECIES
Na 22.99 Na.upf
Mo 95.94 Mo.upf
O 16.00 O.upf
ATOMIC_POSITIONS crystal
Na 0.000 0.250 0.375
Na 0.000 0.750 0.625
Na 0.500 0.250 0.125
Na 0.500 0.750 0.875
Mo 0.000 0.000 0.000
Mo 0.000 0.500 0.000
Mo 0.250 0.250 0.750
Mo 0.250 0.750 0.250
Mo 0.500 0.000 0.500
Mo 0.500 0.500 0.500
Mo 0.750 0.250 0.750
Mo 0.750 0.750 0.250
O 0.000 0.250 0.875
O 0.000 0.750 0.125
O 0.500 0.250 0.625
O 0.500 0.750 0.375
CELL_PARAMETERS angstrom
6.539 0.000 0.000
0.000 6.539 0.000
0.000 0.000 10.909
```

Output
Final energy = -4.830 eV/atom
Magnetization = 2.09 μB/atom
SG = No. 141
Calculated volume = 29.1 Å³ per atom